<a>
Density functional theory data (PBE) for a geometry-optimized CsBeRe2 structure.

Summary:
D(E_F) (states/eV per atom): 1.261
M_tot (μB per atom): 0.000

Structure (CIF):
```
data_CsBeRe2
_chemical_formula_sum 'Cs2 Be2 Re4'
_cell_length_a 4.8552
_cell_length_b 4.8552
_cell_length_c 9.3052
_cell_angle_alpha 74.88
_cell_angle_beta 74.88
_cell_angle_gamma 90.00
_symmetry_space_group_name_H-M 'P 1'
_symmetry_Int_Tables_number 1
loop_
_symmetry_equiv_pos_as_xyz
'x,y,z'
loop_
_atom_site_label
_atom_site_type_symbol
_atom_site_fract_x
_atom_site_fract_y
_atom_site_fract_z
_atom_site_occupancy
Be1 Be 0.5000 0.5000 0.0000 1
Be2 Be 0.2500 0.7500 0.5000 1
Re1 Re 0.8750 0.6250 0.7500 1
Re2 Re 0.3750 0.6250 0.2500 1
Re3 Re 0.3750 0.1250 0.2500 1
Re4 Re 0.3750 0.6250 0.7500 1
Cs1 Cs 0.0000 0.0000 0.0000 1
Cs2 Cs 0.7500 0.2500 0.5000 1
```

<b>
Density functional theory data (PBE) for a geometry-optimized CsBeRe2 structure.

Summary:
D(E_F) (states/eV per atom): 0.615
M_tot (μB per atom): 0.000

Structure (CIF):
```
data_CsBeRe2
_chemical_formula_sum 'Cs1 Be1 Re2'
_cell_length_a 4.5317
_cell_length_b 4.5317
_cell_length_c 4.5317
_cell_angle_alpha 60.00
_cell_angle_beta 60.00
_cell_angle_gamma 60.00
_symmetry_space_group_name_H-M 'P 1'
_symmetry_Int_Tables_number 1
loop_
_symmetry_equiv_pos_as_xyz
'x,y,z'
loop_
_atom_site_label
_atom_site_type_symbol
_atom_site_fract_x
_atom_site_fract_y
_atom_site_fract_z
_atom_site_occupancy
Be1 Be 0.0000 0.0000 0.0000 1
Re1 Re 0.7500 0.7500 0.7500 1
Re2 Re 0.2500 0.2500 0.2500 1
Cs1 Cs 0.5000 0.5000 0.5000 1
```

Verdict on stability: <b> comes out at the bottom.